This record from Alexandria via LeMat-Bulk describes a relaxed PmNi4As3 crystal. The functional is GGA-PBE.

CIF file:
```
data_PmNi4As3
_symmetry_space_group_name_H-M 'P 4/m m m'
_symmetry_Int_Tables_number 123
_symmetry_space_group_name_Hall '-P 4 2'
_cell_length_a 4.036
_cell_length_b 4.036
_cell_length_c 7.657
_cell_angle_alpha 90.00
_cell_angle_beta 90.00
_cell_angle_gamma 90.00
loop_
_atom_site_label
_atom_site_fract_x
_atom_site_fract_y
_atom_site_fract_z
Pm1 0.000 0.000 0.000
Ni1 0.000 0.500 0.328
As1 0.000 0.000 0.500
As2 0.500 0.500 0.171
```

Calculated values
The calculation puts the total magnetization at 0.00 μB/f.u. The mass density is 8.05 g cm⁻³. As for the formation energy: -0.565 eV per atom.

***

This record from Alexandria via LeMat-Bulk describes a relaxed ScCdNF2 crystal. The functional is GGA-PBE.

CIF file:
```
data_ScCdNF2
_symmetry_space_group_name_H-M 'P 4/m m m'
_symmetry_Int_Tables_number 123
_symmetry_space_group_name_Hall '-P 4 2'
_cell_length_a 4.012
_cell_length_b 4.012
_cell_length_c 4.461
_cell_angle_alpha 90.00
_cell_angle_beta 90.00
_cell_angle_gamma 90.00
loop_
_atom_site_label
_atom_site_fract_x
_atom_site_fract_y
_atom_site_fract_z
Sc1 0.000 0.000 0.000
Cd1 0.500 0.500 0.500
N1 0.000 0.000 0.500
F1 0.000 0.500 0.000
```

Calculated values
The calculation puts the total magnetization at 0.00 μB/f.u. The mass density is 4.84 g cm⁻³. Its formation energy from raw total energies is -9.1 eV per formula unit. The value obtained for the polymorph energy (0 for the lowest one) is 0 meV per atom.

***

This record from Alexandria via LeMat-Bulk describes a relaxed In2Ag2Pb crystal. The functional is GGA-PBE.

CIF file:
```
data_In2Ag2Pb
_symmetry_space_group_name_H-M 'I 4/m m m'
_symmetry_Int_Tables_number 139
_symmetry_space_group_name_Hall '-I 4 2'
_cell_length_a 4.167
_cell_length_b 4.167
_cell_length_c 14.210
_cell_angle_alpha 90.00
_cell_angle_beta 90.00
_cell_angle_gamma 90.00
loop_
_atom_site_label
_atom_site_fract_x
_atom_site_fract_y
_atom_site_fract_z
In1 0.000 0.000 0.107
Ag1 0.000 0.500 0.250
Pb1 0.000 0.000 0.500
```

Calculated values
The calculation puts the total magnetization at 0.00 μB/f.u. The mass density is 8.78 g cm⁻³. As for the formation energy: 0.098 eV per atom. The value obtained for the polymorph energy (0 for the lowest one) is 54 meV per atom.

***

This record from Alexandria via LeMat-Bulk describes a relaxed Sc4InPtO crystal. The functional is GGA-PBE.

CIF file:
```
data_Sc4InPtO
_symmetry_space_group_name_H-M 'C m c m'
_symmetry_Int_Tables_number 63
_symmetry_space_group_name_Hall '-C 2c 2'
_cell_length_a 6.136
_cell_length_b 14.419
_cell_length_c 6.145
_cell_angle_alpha 90.00
_cell_angle_beta 90.00
_cell_angle_gamma 90.00
loop_
_atom_site_label
_atom_site_fract_x
_atom_site_fract_y
_atom_site_fract_z
Sc1 0.000 0.061 0.250
Sc2 0.000 0.412 0.250
Sc3 0.250 0.250 0.000
In1 0.000 0.390 0.750
Pt1 0.000 0.121 0.750
O1 0.000 0.256 0.250
```

Calculated values
The calculation puts the total magnetization at 0.00 μB/f.u. The mass density is 6.18 g cm⁻³. Its formation energy from raw total energies is -9.1 eV per formula unit.